1.
# Ca2ZnRe, optimized geometry, DFT PBE-GGA
data_Ca2ZnRe
_chemical_formula_sum 'Ca4 Zn2 Re2'
_space_group_name_H-M_alt 'I 4/m m m'
_space_group_IT_number 139
_space_group_name_Hall '-I 4 2'
_cell_length_a 4.569
_cell_length_b 4.569
_cell_length_c 8.413
_cell_angle_alpha 90.00
_cell_angle_beta 90.00
_cell_angle_gamma 90.00
loop_
_atom_site_label
_atom_site_type_symbol
_atom_site_fract_x
_atom_site_fract_y
_atom_site_fract_z
Ca1 Ca 0.000 0.500 0.250
Zn1 Zn 0.000 0.000 0.000
Re1 Re 0.000 0.000 0.500
# * formation energy from the elements: 603 meV per atom

***

2.
# ThSiPt3, optimized geometry, DFT PBE-GGA
data_ThSiPt3
_chemical_formula_sum 'Th8 Si8 Pt24'
_space_group_name_H-M_alt 'C 1 2/c 1'
_space_group_IT_number 15
_space_group_name_Hall '-C 2yc'
_cell_length_a 12.254
_cell_length_b 6.717
_cell_length_c 10.015
_cell_angle_alpha 90.00
_cell_angle_beta 112.10
_cell_angle_gamma 90.00
loop_
_atom_site_label
_atom_site_type_symbol
_atom_site_fract_x
_atom_site_fract_y
_atom_site_fract_z
Th1 Th 0.102 0.207 0.134
Si1 Si 0.000 0.178 0.750
Si2 Si 0.250 0.250 0.500
Pt1 Pt 0.095 0.491 0.375
Pt2 Pt 0.128 0.320 0.638
Pt3 Pt 0.191 0.075 0.897
# * formation energy from raw total energies: -1.056 eV per atom
# * excess energy over the best structure of this formula in the dataset: 0.36 eV/f.u.

***

3.
# Li3HgCl4, optimized geometry, DFT PBE-GGA
data_Li3HgCl4
_chemical_formula_sum 'Li6 Hg2 Cl8'
_space_group_name_H-M_alt 'I -4 2 m'
_space_group_IT_number 121
_space_group_name_Hall 'I -4 2'
_cell_length_a 5.913
_cell_length_b 5.913
_cell_length_c 11.198
_cell_angle_alpha 90.00
_cell_angle_beta 90.00
_cell_angle_gamma 90.00
loop_
_atom_site_label
_atom_site_type_symbol
_atom_site_fract_x
_atom_site_fract_y
_atom_site_fract_z
Li1 Li 0.000 0.000 0.000
Li2 Li 0.000 0.500 0.250
Hg1 Hg 0.000 0.000 0.500
Cl1 Cl 0.214 0.214 0.858
# * formation energy from raw total energies: -1.362 eV per atom

***

4.
# Fe2PtSe, optimized geometry, DFT PBE-GGA
data_Fe2PtSe
_chemical_formula_sum 'Fe2 Pt1 Se1'
_space_group_name_H-M_alt 'P m m m'
_space_group_IT_number 47
_space_group_name_Hall '-P 2 2'
_cell_length_a 2.965
_cell_length_b 3.720
_cell_length_c 5.384
_cell_angle_alpha 90.00
_cell_angle_beta 90.00
_cell_angle_gamma 90.00
loop_
_atom_site_label
_atom_site_type_symbol
_atom_site_fract_x
_atom_site_fract_y
_atom_site_fract_z
Fe1 Fe 0.000 0.000 0.246
Pt1 Pt 0.500 0.500 0.000
Se1 Se 0.500 0.500 0.500
# * formation energy from raw total energies: 0.149 eV per atom

***

5.
# Ta2Au2Cl, optimized geometry, DFT PBE-GGA
data_Ta2Au2Cl
_chemical_formula_sum 'Ta4 Au4 Cl2'
_space_group_name_H-M_alt 'P 4/m b m'
_space_group_IT_number 127
_space_group_name_Hall '-P 4 2ab'
_cell_length_a 8.262
_cell_length_b 8.262
_cell_length_c 2.939
_cell_angle_alpha 90.00
_cell_angle_beta 90.00
_cell_angle_gamma 90.00
loop_
_atom_site_label
_atom_site_type_symbol
_atom_site_fract_x
_atom_site_fract_y
_atom_site_fract_z
Ta1 Ta 0.117 0.383 0.000
Au1 Au 0.172 0.672 0.500
Cl1 Cl 0.000 0.000 0.500
# * formation energy from raw total energies: 0.371 eV per atom

***

6.
# Tl2Ag2Cl5, optimized geometry, DFT PBE-GGA
data_Tl2Ag2Cl5
_chemical_formula_sum 'Tl2 Ag2 Cl5'
_space_group_name_H-M_alt 'P 4/m m m'
_space_group_IT_number 123
_space_group_name_Hall '-P 4 2'
_cell_length_a 5.035
_cell_length_b 5.035
_cell_length_c 10.388
_cell_angle_alpha 90.00
_cell_angle_beta 90.00
_cell_angle_gamma 90.00
loop_
_atom_site_label
_atom_site_type_symbol
_atom_site_fract_x
_atom_site_fract_y
_atom_site_fract_z
Tl1 Tl 0.000 0.000 0.000
Tl2 Tl 0.000 0.000 0.500
Ag1 Ag 0.500 0.500 0.238
Cl1 Cl 0.000 0.500 0.208
Cl2 Cl 0.500 0.500 0.500
# * formation energy from raw total energies: -0.681 eV per atom
# * excess energy over the best structure of this formula in the dataset: 0.00 eV/f.u.

***

Copy entry 2 word for word.
# ThSiPt3, optimized geometry, DFT PBE-GGA
data_ThSiPt3
_chemical_formula_sum 'Th8 Si8 Pt24'
_space_group_name_H-M_alt 'C 1 2/c 1'
_space_group_IT_number 15
_space_group_name_Hall '-C 2yc'
_cell_length_a 12.254
_cell_length_b 6.717
_cell_length_c 10.015
_cell_angle_alpha 90.00
_cell_angle_beta 112.10
_cell_angle_gamma 90.00
loop_
_atom_site_label
_atom_site_type_symbol
_atom_site_fract_x
_atom_site_fract_y
_atom_site_fract_z
Th1 Th 0.102 0.207 0.134
Si1 Si 0.000 0.178 0.750
Si2 Si 0.250 0.250 0.500
Pt1 Pt 0.095 0.491 0.375
Pt2 Pt 0.128 0.320 0.638
Pt3 Pt 0.191 0.075 0.897
# * formation energy from raw total energies: -1.056 eV per atom
# * excess energy over the best structure of this formula in the dataset: 0.36 eV/f.u.

***

Which formula does entry 2 have? ThSiPt3

***

Number 4 is which compound? Fe2PtSe